# Tb5Ho4Tl | Alexandria | PBE-GGA | relaxed
data_Tb5Ho4Tl
_chemical_formula_sum 'Tb5 Ho4 Tl1'
_cell_length_a 4.1129
_cell_length_b 4.1129
_cell_length_c 18.2150
_cell_angle_alpha 90.00
_cell_angle_beta 90.00
_cell_angle_gamma 90.00
_space_group_name_H-M_alt 'P 1'
_space_group_IT_number 1
loop_
_space_group_symop_operation_xyz
'x,y,z'
loop_
_atom_site_label
_atom_site_fract_x
_atom_site_fract_y
_atom_site_fract_z
_atom_site_occupancy
Tb1 0.5000 0.5000 0.5000 1
Ho1 0.0000 0.0000 0.1975 1
Tb2 0.5000 0.5000 0.9088 1
Tb3 0.5000 0.5000 0.0912 1
Tl1 0.0000 0.0000 0.0000 1
Tb4 0.5000 0.5000 0.2965 1
Ho2 0.0000 0.0000 0.3984 1
Tb5 0.5000 0.5000 0.7035 1
Ho3 0.0000 0.0000 0.8025 1
Ho4 0.0000 0.0000 0.6016 1
# SG: No. 123
# E_form, kJ/mol of formula units: 38
# Final energy, eV for the cell shown: -43.4

---

# IBrO2F | Alexandria | PBE-GGA | relaxed
data_IBrO2F
_chemical_formula_sum 'I1 Br1 O2 F1'
_cell_length_a 3.7940
_cell_length_b 3.7940
_cell_length_c 7.0390
_cell_angle_alpha 90.00
_cell_angle_beta 90.00
_cell_angle_gamma 90.00
_space_group_name_H-M_alt 'P 1'
_space_group_IT_number 1
loop_
_space_group_symop_operation_xyz
'x,y,z'
loop_
_atom_site_label
_atom_site_fract_x
_atom_site_fract_y
_atom_site_fract_z
_atom_site_occupancy
F1 0.0000 0.0000 0.5000 1
I1 0.5000 0.5000 0.5000 1
O1 0.5000 0.0000 0.0000 1
O2 0.0000 0.5000 0.0000 1
Br1 0.0000 0.0000 0.0000 1
# SG: No. 123
# Formation energy (no corrections), kJ per mole of atoms: 34
# Final energy, eV for the cell shown: -13.2

---

# TaSi3Ru | Alexandria | PBE-GGA | relaxed
data_TaSi3Ru
_chemical_formula_sum 'Ta1 Si3 Ru1'
_cell_length_a 4.7837
_cell_length_b 4.7837
_cell_length_c 4.7837
_cell_angle_alpha 90.00
_cell_angle_beta 90.00
_cell_angle_gamma 90.00
_space_group_name_H-M_alt 'P 1'
_space_group_IT_number 1
loop_
_space_group_symop_operation_xyz
'x,y,z'
loop_
_atom_site_label
_atom_site_fract_x
_atom_site_fract_y
_atom_site_fract_z
_atom_site_occupancy
Si1 0.0000 0.5000 0.0000 1
Si2 0.0000 0.0000 0.5000 1
Si3 0.5000 0.0000 0.0000 1
Ta1 0.0000 0.0000 0.0000 1
Ru1 0.5000 0.5000 0.5000 1
# SG: No. 221
# Formation energy (no corrections), kJ per mole of atoms: 126
# Final energy, eV for the cell shown: -30.9